[1]
Compound: Ho2TmCo9
Source: Alexandria
Functional: PBE
Structure: optimized geometry

- electronic total energy (eV for the cell shown) = -80.0
- D(E_F) (states/eV/f.u.) = 15.950
- volume (Å³/atom) = 14.3
- SG = R-3m, No. 166
- energy of formation (eV per atom) = -0.199

a = 8.5903 Å, b = 8.5903 Å, c = 8.5903 Å
α = 33.49°, β = 33.49°, γ = 33.49°
Element x y z (fractional)
Ho 0.1396 0.1396 0.1396
Ho 0.8604 0.8604 0.8604
Tm 0.0000 0.0000 0.0000
Co 0.0784 0.5825 0.5825
Co 0.3348 0.3348 0.3348
Co 0.4175 0.4175 0.9216
Co 0.4175 0.9216 0.4175
Co 0.5000 0.5000 0.5000
Co 0.5825 0.0784 0.5825
Co 0.5825 0.5825 0.0784
Co 0.6652 0.6652 0.6652
Co 0.9216 0.4175 0.4175



[2]
Compound: HoTm2Co
Source: Alexandria
Functional: PBE
Structure: optimized geometry

- electronic total energy (eV for the cell shown) = -42.6
- D(E_F) (states/eV/f.u.) = 4.938
- volume (Å³/atom) = 24.7
- energy above the most stable polymorph in this dataset (meV/atom) = 26
- SG = Cmcm, No. 63
- energy of formation (eV per atom) = -0.167

a = 6.2121 Å, b = 6.2121 Å, c = 9.1525 Å
α = 90.00°, β = 90.00°, γ = 145.99°
Element x y z (fractional)
Ho 0.0820 0.9180 0.7500
Ho 0.9180 0.0820 0.2500
Tm 0.3589 0.6411 0.5711
Tm 0.3589 0.6411 0.9289
Tm 0.6411 0.3589 0.0711
Tm 0.6411 0.3589 0.4289
Co 0.2492 0.7508 0.2500
Co 0.7508 0.2492 0.7500



[3]
Compound: HoTm2Co
Source: Alexandria
Functional: PBE
Structure: optimized geometry

- electronic total energy (eV for the cell shown) = -20.0
- D(E_F) (states/eV/f.u.) = 5.412
- volume (Å³/atom) = 27.5
- energy above the most stable polymorph in this dataset (meV/atom) = 347
- SG = R-3m, No. 166
- energy of formation (eV per atom) = 0.154

a = 10.4096 Å, b = 10.4096 Å, c = 10.4096 Å
α = 19.50°, β = 19.50°, γ = 19.50°
Element x y z (fractional)
Ho 0.0000 0.0000 0.0000
Tm 0.1134 0.1134 0.1134
Tm 0.8866 0.8866 0.8866
Co 0.5000 0.5000 0.5000



[4]
Compound: HoTmCo
Source: Alexandria
Functional: PBE
Structure: optimized geometry

- electronic total energy (eV for the cell shown) = -16.3
- D(E_F) (states/eV/f.u.) = 2.807
- volume (Å³/atom) = 25.8
- energy above the most stable polymorph in this dataset (meV/atom) = 89
- SG = P3m1, No. 156
- energy of formation (eV per atom) = -0.063

a = 3.8184 Å, b = 3.8184 Å, c = 6.1347 Å
α = 90.00°, β = 90.00°, γ = 120.00°
Element x y z (fractional)
Ho 0.0000 0.0000 0.0000
Tm 0.3333 0.6667 0.4664
Co 0.6667 0.3333 0.2347



[5]
Compound: HoTm2Co9
Source: Alexandria
Functional: PBE
Structure: optimized geometry

- electronic total energy (eV for the cell shown) = -80.1
- D(E_F) (states/eV/f.u.) = 16.087
- volume (Å³/atom) = 14.3
- SG = R-3m, No. 166
- energy of formation (eV per atom) = -0.215

a = 8.5477 Å, b = 8.5477 Å, c = 8.5477 Å
α = 33.70°, β = 33.70°, γ = 33.70°
Element x y z (fractional)
Ho 0.0000 0.0000 0.0000
Tm 0.1400 0.1400 0.1400
Tm 0.8600 0.8600 0.8600
Co 0.0779 0.5840 0.5840
Co 0.3351 0.3351 0.3351
Co 0.4160 0.4160 0.9221
Co 0.4160 0.9221 0.4160
Co 0.5000 0.5000 0.5000
Co 0.5840 0.0779 0.5840
Co 0.5840 0.5840 0.0779
Co 0.6649 0.6649 0.6649
Co 0.9221 0.4160 0.4160



[6]
Compound: Ho3TmCo
Source: Alexandria
Functional: PBE
Structure: optimized geometry

- electronic total energy (eV for the cell shown) = -51.8
- D(E_F) (states/eV/f.u.) = 5.177
- volume (Å³/atom) = 27.2
- energy above the most stable polymorph in this dataset (meV/atom) = 0
- SG = C2/m, No. 12
- energy of formation (eV per atom) = -0.117

a = 7.0628 Å, b = 7.0628 Å, c = 8.0479 Å
α = 124.59°, β = 124.59°, γ = 71.35°
Element x y z (fractional)
Ho 0.0481 0.0481 0.3413
Ho 0.0486 0.4526 0.2073
Ho 0.4526 0.0486 0.2073
Ho 0.5474 0.9514 0.7927
Ho 0.9514 0.5474 0.7927
Ho 0.9519 0.9519 0.6587
Tm 0.4521 0.4521 0.7479
Tm 0.5479 0.5479 0.2521
Co 0.2501 0.2501 0.8721
Co 0.7499 0.7499 0.1279



[7]
Compound: HoTm2Co
Source: Alexandria
Functional: PBE
Structure: optimized geometry

- electronic total energy (eV for the cell shown) = -21.0
- D(E_F) (states/eV/f.u.) = 4.394
- volume (Å³/atom) = 24.4
- energy above the most stable polymorph in this dataset (meV/atom) = 104
- SG = P4/mmm, No. 123
- energy of formation (eV per atom) = -0.089

a = 3.3493 Å, b = 3.3493 Å, c = 8.7081 Å
α = 90.00°, β = 90.00°, γ = 90.00°
Element x y z (fractional)
Ho 0.0000 0.0000 0.0000
Tm 0.5000 0.5000 0.3169
Tm 0.5000 0.5000 0.6831
Co 0.0000 0.0000 0.5000



[8]
Compound: HoTmCo
Source: Alexandria
Functional: PBE
Structure: optimized geometry

- electronic total energy (eV for the cell shown) = -33.2
- D(E_F) (states/eV/f.u.) = 2.043
- volume (Å³/atom) = 23.1
- energy above the most stable polymorph in this dataset (meV/atom) = 2
- SG = C2/m, No. 12
- energy of formation (eV per atom) = -0.151

a = 6.6626 Å, b = 6.6626 Å, c = 6.6641 Å
α = 104.48°, β = 104.48°, γ = 28.95°
Element x y z (fractional)
Ho 0.1289 0.1289 0.0648
Ho 0.8711 0.8711 0.9352
Tm 0.1284 0.1284 0.5637
Tm 0.8716 0.8716 0.4363
Co 0.4995 0.4995 0.2525
Co 0.5005 0.5005 0.7475